(1)
CePu2H6 | GGA-PBE | optimized geometry

Properties
Size of the total moment (μB per formula unit): 11.99
Volume (Å³ per atom): 12.82
Energy (eV for the cell shown): -116.88

abc: 3.793 3.793 16.035
angles: 90.00 90.00 90.00
Space group I4/mmm (No. 139)
Unique sites:
Ce1 0.000 0.000 0.000 x2
Pu1 0.000 0.000 0.332 x4
H1 0.000 0.500 0.086 x8
H2 0.000 0.500 0.250 x4


(2)
NaCaSiAg | GGA-PBE | optimized geometry

Properties
ΔE_f (raw) (eV/f.u.): -0.54
Size of the total moment (μB per formula unit): 0.00
Volume (Å³ per atom): 20.61
Energy (eV for the cell shown): -48.56

abc: 6.909 6.909 6.909
angles: 90.00 90.00 90.00
Space group F-43m (No. 216)
Unique sites:
Na1 0.000 0.000 0.000 x4
Ca1 0.250 0.250 0.250 x4
Si1 0.000 0.000 0.500 x4
Ag1 0.250 0.250 0.750 x4


(3)
Mg4Cd5Ni2 | GGA-PBE | optimized geometry

Properties
ΔE_f (eV/atom): -0.103
Size of the total moment (μB per formula unit): 0.00
Volume (Å³ per atom): 19.53
Energy (eV for the cell shown): -23.65

abc: 7.387 3.113 9.353
angles: 90.00 92.74 90.00
Space group P2/m (No. 10)
Unique sites:
Mg1 0.176 0.000 0.352 x2
Mg2 0.206 0.000 0.943 x2
Cd1 0.176 0.500 0.658 x2
Cd2 0.446 0.500 0.165 x2
Cd3 0.500 0.500 0.500 x1
Ni1 0.070 0.500 0.136 x2


(4)
Pr3YGa3 | GGA-PBE | optimized geometry

Properties
ΔE_f (eV/atom): -0.372
Size of the total moment (μB per formula unit): 0.00
Volume (Å³ per atom): 27.10
Energy (eV for the cell shown): -64.97

abc: 9.5139 9.5139 4.8401
angles: 90.00 90.00 120.00
Space group P6_3/m (No. 176)
Unique sites:
Pr1 0.0211 0.7586 0.2500 x6
Y1 0.3333 0.6667 0.7500 x2
Ga1 0.0606 0.4564 0.2500 x6